# 1
Computed, not measured: Rb3OsCl8 after structural relaxation at the PBE level of DFT.

Cell: 9.258 9.834 9.834 Å, 120.00 90.00 90.00°
Fractional positions:
Rb (0.694, 0.695, 0.848)
Rb (0.694, 0.152, 0.305)
Rb (0.694, 0.152, 0.848)
Rb (0.194, 0.305, 0.152)
Rb (0.194, 0.848, 0.695)
Rb (0.194, 0.848, 0.152)
Os (0.153, 0.333, 0.667)
Os (0.653, 0.667, 0.333)
Cl (0.010, 0.110, 0.555)
Cl (0.010, 0.445, 0.890)
Cl (0.010, 0.445, 0.555)
Cl (0.510, 0.890, 0.445)
Cl (0.510, 0.555, 0.110)
Cl (0.510, 0.555, 0.445)
Cl (0.799, 0.443, 0.221)
Cl (0.799, 0.779, 0.557)
Cl (0.799, 0.779, 0.221)
Cl (0.299, 0.557, 0.779)
Cl (0.299, 0.221, 0.443)
Cl (0.299, 0.221, 0.779)
Cl (0.660, 0.333, 0.667)
Cl (0.160, 0.667, 0.333)
Cl (0.951, 0.000, 0.000)
Cl (0.451, 0.000, 0.000)

E_form (uncorrected) (eV per formula unit): -14.211
Density (kg/m3): 3128
E (eV/atom): -3.593
Crystal system: hexagonal

# 2
Computed, not measured: Er2CdIrO8 after structural relaxation at the PBE level of DFT.

Cell: 4.903 4.896 6.985 Å, 90.00 89.99 92.25°
Fractional positions:
Er (0.500, 0.500, 0.746)
Er (0.500, 0.500, 0.254)
Cd (0.000, 0.000, 0.500)
Ir (0.000, 0.000, 0.000)
O (0.185, 0.814, 0.195)
O (0.717, 0.718, 0.000)
O (0.815, 0.186, 0.195)
O (0.815, 0.186, 0.805)
O (0.283, 0.282, 0.000)
O (0.185, 0.814, 0.805)
O (0.695, 0.695, 0.500)
O (0.305, 0.305, 0.500)

E_form (uncorrected) (eV per formula unit): -21.572
Density (kg/m3): 7603
E (eV/atom): -6.678
Crystal system: orthorhombic

# 3
Computed, not measured: BaTe2I after structural relaxation at the PBE level of DFT.

Cell: 9.162 9.162 9.162 Å, 35.67 35.67 35.67°
Fractional positions:
I (0.000, 0.000, 0.000)
Te (0.885, 0.885, 0.885)
Te (0.115, 0.115, 0.115)
Ba (0.500, 0.500, 0.500)

E_form (uncorrected) (eV per formula unit): -2.601
Density (kg/m3): 3690
E (eV/atom): -3.089
Crystal system: trigonal

# 4
Computed, not measured: PtPb5 after structural relaxation at the PBE level of DFT.

Cell: 3.459 3.459 14.157 Å, 90.00 90.00 90.00°
Fractional positions:
Pb (0.000, 0.000, 0.877)
Pb (0.000, 0.000, 0.123)
Pb (0.500, 0.500, 0.679)
Pb (0.500, 0.500, 0.321)
Pb (0.000, 0.000, 0.500)
Pt (0.500, 0.500, 0.000)

Energy of formation from the pure elements (eV/atom): -0.0499
Density (kg/m3): 12066
E (eV/atom): -4.147
Crystal system: tetragonal

# 5
Computed, not measured: NaLuBiPb after structural relaxation at the PBE level of DFT.

Cell: 5.444 5.444 5.444 Å, 60.00 60.00 60.00°
Fractional positions:
Pb (0.250, 0.250, 0.250)
Na (0.000, 0.000, 0.000)
Lu (0.500, 0.500, 0.500)
Bi (0.750, 0.750, 0.750)

Energy of formation from the pure elements (eV/atom): -0.2540
Density (kg/m3): 8941
E (eV/atom): -3.611
Crystal system: cubic

# 6
Computed, not measured: AlCdSe2 after structural relaxation at the PBE level of DFT.

Cell: 4.891 4.891 3.497 Å, 90.00 90.00 90.00°
Fractional positions:
Al (0.500, 0.000, 0.500)
Se (0.000, 0.000, 0.000)
Se (0.500, 0.500, 0.000)
Cd (0.000, 0.500, 0.500)

E_form (uncorrected) (eV per formula unit): -0.113
Density (kg/m3): 5903
E (eV/atom): -2.935
Crystal system: tetragonal

# 7
Computed, not measured: Ce3Pm2HoSb6 after structural relaxation at the PBE level of DFT.

Cell: 7.751 7.751 7.755 Å, 99.60 99.60 120.00°
Fractional positions:
Ce (0.168, 0.832, 0.500)
Ce (0.832, 0.168, 0.500)
Ce (0.500, 0.500, 0.500)
Pm (0.334, 0.666, 0.000)
Pm (0.666, 0.334, 0.000)
Ho (0.000, 0.000, 0.000)
Sb (0.918, 0.589, 0.752)
Sb (0.755, 0.755, 0.250)
Sb (0.082, 0.411, 0.248)
Sb (0.589, 0.918, 0.752)
Sb (0.245, 0.245, 0.750)
Sb (0.411, 0.082, 0.248)

E_form (uncorrected) (eV per formula unit): -13.248
Density (kg/m3): 7010
E (eV/atom): -5.822
Crystal system: monoclinic

# 8
Computed, not measured: Sm4InHg2 after structural relaxation at the PBE level of DFT.

Cell: 5.269 5.269 9.761 Å, 74.34 74.34 60.00°
Fractional positions:
Sm (0.374, 0.374, 0.877)
Sm (0.214, 0.214, 0.357)
Sm (0.786, 0.786, 0.643)
Sm (0.626, 0.626, 0.123)
In (0.000, 0.000, 0.000)
Hg (0.104, 0.104, 0.687)
Hg (0.896, 0.896, 0.313)

Energy of formation from the pure elements (eV/atom): -0.1919
Density (kg/m3): 8322
E (eV/atom): -3.366
Crystal system: trigonal

# 9
Computed, not measured: Mg5Sc2Cd after structural relaxation at the PBE level of DFT.

Cell: 4.506 4.506 9.463 Å, 103.77 103.77 90.00°
Fractional positions:
Mg (0.500, 0.500, 0.000)
Mg (0.878, 0.378, 0.757)
Mg (0.378, 0.878, 0.757)
Mg (0.122, 0.622, 0.243)
Mg (0.622, 0.122, 0.243)
Sc (0.749, 0.749, 0.498)
Sc (0.251, 0.251, 0.502)
Cd (0.000, 0.000, 0.000)

Energy of formation from the pure elements (eV/atom): -0.0665
Density (kg/m3): 2973
E (eV/atom): -2.760
Crystal system: tetragonal

# 10
Computed, not measured: ScInCo2C after structural relaxation at the PBE level of DFT.

Cell: 3.984 3.984 4.345 Å, 90.00 90.00 90.00°
Fractional positions:
Sc (0.000, 0.000, 0.500)
C (0.000, 0.000, 0.000)
Co (0.000, 0.500, 0.000)
Co (0.500, 0.000, 0.000)
In (0.500, 0.500, 0.500)

Energy of formation from the pure elements (eV/atom): -0.0330
Density (kg/m3): 6974
E (eV/atom): -6.534
Crystal system: tetragonal

# 11
Computed, not measured: ScCd2Cu2 after structural relaxation at the PBE level of DFT.

Cell: 7.859 7.859 2.916 Å, 90.00 90.00 90.00°
Fractional positions:
Sc (0.000, 0.000, 0.000)
Sc (0.500, 0.500, 0.000)
Cu (0.170, 0.670, 0.500)
Cu (0.670, 0.830, 0.500)
Cu (0.830, 0.330, 0.500)
Cu (0.330, 0.170, 0.500)
Cd (0.370, 0.870, 0.000)
Cd (0.870, 0.630, 0.000)
Cd (0.630, 0.130, 0.000)
Cd (0.130, 0.370, 0.000)

Energy of formation from the pure elements (eV/atom): 0.0319
Density (kg/m3): 7317
E (eV/atom): -3.239
Crystal system: tetragonal

# 12
Computed, not measured: CeBePt3 after structural relaxation at the PBE level of DFT.

Cell: 4.426 4.426 4.426 Å, 90.00 90.00 90.00°
Fractional positions:
Be (0.000, 0.000, 0.000)
Ce (0.500, 0.500, 0.500)
Pt (0.000, 0.500, 0.000)
Pt (0.000, 0.000, 0.500)
Pt (0.500, 0.000, 0.000)

Energy of formation from the pure elements (eV/atom): -0.7636
Density (kg/m3): 14064
E (eV/atom): -6.320
Crystal system: cubic

# 13
Computed, not measured: La3Y3HoSe8 after structural relaxation at the PBE level of DFT.

Cell: 8.290 8.290 8.428 Å, 119.45 90.00 120.00°
Fractional positions:
La (0.000, 0.000, 0.000)
La (0.000, 0.500, 0.000)
La (0.500, 0.500, 0.000)
Y (0.500, 0.000, 0.500)
Y (0.500, 0.500, 0.500)
Y (0.000, 0.500, 0.500)
Ho (0.000, 0.000, 0.500)
Se (0.256, 0.512, 0.267)
Se (0.744, 0.488, 0.733)
Se (0.754, 0.508, 0.265)
Se (0.246, 0.492, 0.735)
Se (0.754, 0.011, 0.265)
Se (0.246, 0.989, 0.735)
Se (0.257, 0.011, 0.265)
Se (0.743, 0.989, 0.735)

E_form (uncorrected) (eV per formula unit): -28.819
Density (kg/m3): 5952
E (eV/atom): -6.363
Crystal system: trigonal

# 14
Computed, not measured: EuInBi4 after structural relaxation at the PBE level of DFT.

Cell: 6.626 6.626 6.626 Å, 60.00 60.00 60.00°
Fractional positions:
Eu (0.250, 0.250, 0.250)
Bi (0.626, 0.626, 0.122)
Bi (0.626, 0.122, 0.626)
Bi (0.626, 0.626, 0.626)
Bi (0.122, 0.626, 0.626)
In (0.000, 0.000, 0.000)

Energy of formation from the pure elements (eV/atom): -0.1457
Density (kg/m3): 8902
E (eV/atom): -4.902
Crystal system: cubic

# 15
Computed, not measured: FeOs3Cl after structural relaxation at the PBE level of DFT.

Cell: 4.288 4.288 4.288 Å, 90.00 90.00 90.00°
Fractional positions:
Os (0.000, 0.500, 0.000)
Os (0.000, 0.000, 0.500)
Os (0.500, 0.000, 0.000)
Fe (0.500, 0.500, 0.500)
Cl (0.000, 0.000, 0.000)

E_form (uncorrected) (eV per formula unit): 10.962
Density (kg/m3): 13943
E (eV/atom): -6.607
Crystal system: cubic

# 16
Computed, not measured: AcSmErMg after structural relaxation at the PBE level of DFT.

Cell: 5.715 5.715 5.715 Å, 60.00 60.00 60.00°
Fractional positions:
Ac (0.500, 0.500, 0.500)
Mg (0.000, 0.000, 0.000)
Sm (0.750, 0.750, 0.750)
Er (0.250, 0.250, 0.250)

Energy of formation from the pure elements (eV/atom): 0.1396
Density (kg/m3): 7157
E (eV/atom): -3.607
Crystal system: cubic

# 17
Computed, not measured: Ti2GePd4 after structural relaxation at the PBE level of DFT.

Cell: 6.698 6.698 6.698 Å, 116.83 115.27 97.00°
Fractional positions:
Ti (0.562, 0.375, 0.687)
Ti (0.688, 0.875, 0.313)
Ti (0.625, 0.230, 0.105)
Ti (0.125, 0.520, 0.895)
Ge (0.407, 0.907, 0.500)
Ge (0.843, 0.843, 0.000)
Pd (0.048, 0.272, 0.398)
Pd (0.377, 0.478, 0.276)
Pd (0.874, 0.650, 0.602)
Pd (0.862, 0.139, 0.841)
Pd (0.298, 0.021, 0.159)
Pd (0.202, 0.100, 0.724)
Pd (0.389, 0.729, 0.777)
Pd (0.952, 0.611, 0.223)

Energy of formation from the pure elements (eV/atom): -0.5024
Density (kg/m3): 8835
E (eV/atom): -6.385
Crystal system: orthorhombic

# 18
Computed, not measured: LiEuPuPt after structural relaxation at the PBE level of DFT.

Cell: 5.077 5.077 5.077 Å, 60.00 60.00 60.00°
Fractional positions:
Eu (0.750, 0.750, 0.750)
Li (0.500, 0.500, 0.500)
Pt (0.000, 0.000, 0.000)
Pu (0.250, 0.250, 0.250)

Energy of formation from the pure elements (eV/atom): -0.3564
Density (kg/m3): 10731
E (eV/atom): -8.497
Crystal system: cubic

# 19
Computed, not measured: Li2MgRu after structural relaxation at the PBE level of DFT.

Cell: 4.695 2.681 4.943 Å, 85.61 90.00 90.00°
Fractional positions:
Li (0.000, 0.001, 0.966)
Li (0.000, 0.499, 0.534)
Mg (0.500, 0.250, 0.250)
Ru (0.500, 0.750, 0.750)

Energy of formation from the pure elements (eV/atom): 0.0993
Density (kg/m3): 3727
E (eV/atom): -3.575
Crystal system: monoclinic

# 20
Computed, not measured: Pr6Dy16Ho7 after structural relaxation at the PBE level of DFT.

Cell: 11.187 11.187 11.187 Å, 60.00 60.00 60.00°
Fractional positions:
Pr (0.272, 0.728, 0.272)
Pr (0.728, 0.272, 0.728)
Pr (0.728, 0.272, 0.272)
Pr (0.272, 0.728, 0.728)
Pr (0.728, 0.728, 0.272)
Pr (0.272, 0.272, 0.728)
Dy (0.874, 0.874, 0.379)
Dy (0.874, 0.874, 0.874)
Dy (0.874, 0.379, 0.874)
Dy (0.379, 0.874, 0.874)
Dy (0.126, 0.126, 0.126)
Dy (0.126, 0.126, 0.621)
Dy (0.126, 0.621, 0.126)
Dy (0.621, 0.126, 0.126)
Dy (0.651, 0.651, 0.046)
Dy (0.651, 0.651, 0.651)
Dy (0.651, 0.046, 0.651)
Dy (0.046, 0.651, 0.651)
Dy (0.349, 0.349, 0.349)
Dy (0.349, 0.349, 0.954)
Dy (0.349, 0.954, 0.349)
Dy (0.954, 0.349, 0.349)
Ho (0.000, 0.000, 0.000)
Ho (0.500, 0.000, 0.500)
Ho (0.000, 0.500, 0.000)
Ho (0.000, 0.500, 0.500)
Ho (0.500, 0.000, 0.000)
Ho (0.000, 0.000, 0.500)
Ho (0.500, 0.500, 0.000)

Energy of formation from the pure elements (eV/atom): 0.2325
Density (kg/m3): 7716
E (eV/atom): -4.400
Crystal system: cubic

# 21
Computed, not measured: BeRePb2 after structural relaxation at the PBE level of DFT.

Cell: 5.195 5.195 5.195 Å, 138.42 122.37 73.54°
Fractional positions:
Pb (0.024, 0.024, 0.000)
Pb (0.476, 0.476, 0.000)
Re (0.750, 0.250, 0.500)
Be (0.250, 0.750, 0.500)

Energy of formation from the pure elements (eV/atom): 1.0668
Density (kg/m3): 13171
E (eV/atom): -4.831
Crystal system: orthorhombic

# 22
Computed, not measured: RbY after structural relaxation at the PBE level of DFT.

Cell: 12.311 12.311 12.311 Å, 90.00 90.00 90.00°
Fractional positions:
Rb (0.210, 0.210, 0.210)
Rb (0.210, 0.790, 0.790)
Rb (0.790, 0.210, 0.790)
Rb (0.790, 0.790, 0.210)
Rb (0.710, 0.710, 0.710)
Rb (0.710, 0.290, 0.290)
Rb (0.290, 0.710, 0.290)
Rb (0.290, 0.290, 0.710)
Y (0.408, 0.408, 0.408)
Y (0.408, 0.592, 0.592)
Y (0.592, 0.408, 0.592)
Y (0.592, 0.592, 0.408)
Y (0.908, 0.908, 0.908)
Y (0.908, 0.092, 0.092)
Y (0.092, 0.908, 0.092)
Y (0.092, 0.092, 0.908)

Energy of formation from the pure elements (eV/atom): 0.9850
Density (kg/m3): 1242
E (eV/atom): -2.731
Crystal system: cubic

# 23
Computed, not measured: Li2TbTm2Pb2 after structural relaxation at the PBE level of DFT.

Cell: 4.835 4.835 9.197 Å, 74.76 74.76 60.00°
Fractional positions:
Li (0.592, 0.592, 0.225)
Li (0.408, 0.408, 0.775)
Tb (0.000, 0.000, 0.000)
Tm (0.130, 0.130, 0.610)
Tm (0.870, 0.870, 0.390)
Pb (0.737, 0.737, 0.789)
Pb (0.263, 0.263, 0.211)

Energy of formation from the pure elements (eV/atom): -0.2891
Density (kg/m3): 8659
E (eV/atom): -3.834
Crystal system: trigonal